1.
The following is a DFT calculation (GGA-PBE) of a geometry-optimized ZnSb2TeC structure.

abc: 5.194 5.194 5.293
angles: 90.00 90.00 90.00
Element x y z (fractional)
1 Zn 0.000 0.000 0.000
2 Sb 0.000 0.500 0.000
3 Sb 0.500 0.000 0.000
4 Te 0.000 0.000 0.500
5 C 0.500 0.500 0.500

* ΔE_f (raw): 9.10 eV/f.u.
* offset from the most stable computed form: 4.148 eV per formula unit
* calculated volume: 143 Å³/f.u.
* symmetry: P4/mmm (123)

2.
The following is a DFT calculation (GGA-PBE) of a geometry-optimized Th8Te4Ir3Se structure.

abc: 8.990 8.990 8.990
angles: 56.45 56.45 56.45
Element x y z (fractional)
1 Th 0.226 0.743 0.743
2 Th 0.233 0.233 0.233
3 Th 0.257 0.257 0.774
4 Th 0.257 0.774 0.257
5 Th 0.743 0.226 0.743
6 Th 0.743 0.743 0.226
7 Th 0.767 0.767 0.767
8 Th 0.774 0.257 0.257
9 Te 0.000 0.000 0.000
10 Te 0.000 0.500 0.500
11 Te 0.500 0.000 0.500
12 Te 0.500 0.500 0.000
13 Ir 0.000 0.000 0.500
14 Ir 0.000 0.500 0.000
15 Ir 0.500 0.000 0.000
16 Se 0.500 0.500 0.500

* ΔE_f (raw): -18.70 eV/f.u.
* calculated volume: 472 Å³/f.u.
* symmetry: R-3m (166)

3.
The following is a DFT calculation (GGA-PBE) of a geometry-optimized AlCrSeBr2 structure.

abc: 5.019 5.019 5.088
angles: 90.00 90.00 90.00
Element x y z (fractional)
1 Al 0.000 0.000 0.000
2 Cr 0.500 0.500 0.500
3 Se 0.000 0.000 0.500
4 Br 0.000 0.500 0.000
5 Br 0.500 0.000 0.000

* ΔE_f (raw): -0.10 eV/f.u.
* offset from the most stable computed form: 0.626 eV per formula unit
* calculated volume: 128 Å³/f.u.
* symmetry: P4/mmm (123)

4.
The following is a DFT calculation (GGA-PBE) of a geometry-optimized ErNbZn2 structure.

abc: 3.342 3.342 6.724
angles: 90.00 90.00 90.00
Element x y z (fractional)
1 Er 0.000 0.000 0.000
2 Nb 0.000 0.000 0.500
3 Zn 0.500 0.500 0.275
4 Zn 0.500 0.500 0.725

* calculated formation energy: -79 meV per atom
* calculated volume: 75 Å³/f.u.
* symmetry: P4/mmm (123)

5.
The following is a DFT calculation (GGA-PBE) of a geometry-optimized UI4 structure.

abc: 8.807 8.807 7.673
angles: 91.11 91.11 62.18
Element x y z (fractional)
1 U 0.137 0.863 0.750
2 U 0.863 0.137 0.250
3 I 0.001 0.775 0.076
4 I 0.225 0.999 0.424
5 I 0.229 0.524 0.611
6 I 0.476 0.771 0.889
7 I 0.524 0.229 0.111
8 I 0.771 0.476 0.389
9 I 0.775 0.001 0.576
10 I 0.999 0.225 0.924

* ΔE_f (raw): -4.07 eV/f.u.
* calculated volume: 263 Å³/f.u.
* symmetry: C2/c (15)

6.
The following is a DFT calculation (GGA-PBE) of a geometry-optimized Li8Cd2Ag structure.

abc: 7.777 7.777 5.967
angles: 99.27 99.27 33.64
Element x y z (fractional)
1 Li 0.036 0.036 0.241
2 Li 0.146 0.146 0.667
3 Li 0.326 0.326 0.597
4 Li 0.405 0.405 0.061
5 Li 0.595 0.595 0.939
6 Li 0.674 0.674 0.403
7 Li 0.854 0.854 0.333
8 Li 0.964 0.964 0.759
9 Cd 0.218 0.218 0.142
10 Cd 0.782 0.782 0.858
11 Ag 0.500 0.500 0.500

* calculated formation energy: -165 meV per atom
* offset from the most stable computed form: 0.000 eV per formula unit
* calculated volume: 197 Å³/f.u.
* symmetry: C2/m (12)

7.
The following is a DFT calculation (GGA-PBE) of a geometry-optimized Sb2IrRh structure.

abc: 3.704 3.886 5.388
angles: 90.00 101.34 90.00
Element x y z (fractional)
1 Sb 0.000 0.000 0.000
2 Sb 0.349 0.500 0.595
3 Ir 0.824 0.000 0.484
4 Rh 0.518 0.500 0.106

* ΔE_f (raw): -0.72 eV/f.u.
* offset from the most stable computed form: 0.093 eV per formula unit
* calculated volume: 76 Å³/f.u.
* symmetry: Pm (6)

8.
The following is a DFT calculation (GGA-PBE) of a geometry-optimized Rh3SeN structure.

abc: 4.581 4.581 4.581
angles: 90.00 90.00 90.00
Element x y z (fractional)
1 Rh 0.000 0.000 0.500
2 Rh 0.000 0.500 0.000
3 Rh 0.500 0.000 0.000
4 Se 0.000 0.000 0.000
5 N 0.500 0.500 0.500

* ΔE_f (raw): 8.51 eV/f.u.
* offset from the most stable computed form: 6.619 eV per formula unit
* calculated volume: 96 Å³/f.u.
* symmetry: Pm-3m (221)

9.
The following is a DFT calculation (GGA-PBE) of a geometry-optimized Y5Co4 structure.

abc: 6.500 6.500 6.500
angles: 99.17 99.17 132.95
Element x y z (fractional)
1 Y 0.000 0.000 0.000
2 Y 0.310 0.310 0.620
3 Y 0.310 0.690 0.000
4 Y 0.690 0.310 0.000
5 Y 0.690 0.690 0.380
6 Co 0.000 0.362 0.362
7 Co 0.000 0.638 0.638
8 Co 0.362 0.000 0.362
9 Co 0.638 0.000 0.638

* calculated formation energy: 254 meV per atom
* offset from the most stable computed form: 3.772 eV per formula unit
* calculated volume: 184 Å³/f.u.
* symmetry: I4/mmm (139)

10.
The following is a DFT calculation (GGA-PBE) of a geometry-optimized CrCuCl structure.

abc: 3.042 3.042 11.458
angles: 90.00 90.00 90.00
Element x y z (fractional)
1 Cr 0.000 0.000 0.000
2 Cr 0.500 0.500 0.500
3 Cu 0.000 0.000 0.638
4 Cu 0.500 0.500 0.138
5 Cl 0.000 0.000 0.365
6 Cl 0.500 0.500 0.865

* ΔE_f (raw): 0.74 eV/f.u.
* offset from the most stable computed form: 0.264 eV per formula unit
* calculated volume: 53 Å³/f.u.
* symmetry: I4mm (107)

11.
The following is a DFT calculation (GGA-PBE) of a geometry-optimized BiHAuIN structure.

abc: 13.684 4.053 4.410
angles: 90.00 105.20 90.00
Element x y z (fractional)
1 Bi 0.000 0.000 0.000
2 Bi 0.500 0.500 0.000
3 H 0.179 0.000 0.516
4 H 0.679 0.500 0.516
5 Au 0.082 0.500 0.664
6 Au 0.582 0.000 0.664
7 I 0.318 0.500 0.281
8 I 0.818 0.000 0.281
9 N 0.103 0.000 0.509
10 N 0.603 0.500 0.509

* offset from the most stable computed form: 0.079 eV per formula unit
* calculated volume: 118 Å³/f.u.
* symmetry: Cm (8)

12.
The following is a DFT calculation (GGA-PBE) of a geometry-optimized NpGaRu2 structure.

abc: 4.300 4.300 3.553
angles: 90.00 90.00 90.00
Element x y z (fractional)
1 Np 0.000 0.000 0.000
2 Ga 0.500 0.500 0.000
3 Ru 0.000 0.500 0.500
4 Ru 0.500 0.000 0.500

* calculated formation energy: -259 meV per atom
* calculated volume: 66 Å³/f.u.
* symmetry: P4/mmm (123)